# LuNpTe (PBE, relaxed)
# **Spin magnetization**: 5.84 μB/f.u.
# **Excess energy over the best structure of this formula in the dataset**: 0 meV per atom
# **Uncorrected energy**: -81.35 eV for the cell shown
data_LuNpTe
_chemical_formula_sum 'Lu4 Np4 Te4'
_symmetry_space_group_name_H-M 'F -4 3 m'
_symmetry_Int_Tables_number 216
_symmetry_space_group_name_Hall 'F -4 2 3'
_cell_length_a 7.107
_cell_length_b 7.107
_cell_length_c 7.107
_cell_angle_alpha 90.00
_cell_angle_beta 90.00
_cell_angle_gamma 90.00
loop_
_atom_site_label
_atom_site_type_symbol
_atom_site_fract_x
_atom_site_fract_y
_atom_site_fract_z
Lu1 Lu 0.000 0.000 0.000
Np1 Np 0.000 0.000 0.500
Te1 Te 0.250 0.250 0.250


# SrLiNiBi (PBE, relaxed)
# **Spin magnetization**: 0.00 μB/f.u.
# **Excess energy over the best structure of this formula in the dataset**: 188 meV per atom
# **Uncorrected energy**: -54.42 eV for the cell shown
data_SrLiNiBi
_chemical_formula_sum 'Sr4 Li4 Ni4 Bi4'
_symmetry_space_group_name_H-M 'F -4 3 m'
_symmetry_Int_Tables_number 216
_symmetry_space_group_name_Hall 'F -4 2 3'
_cell_length_a 7.117
_cell_length_b 7.117
_cell_length_c 7.117
_cell_angle_alpha 90.00
_cell_angle_beta 90.00
_cell_angle_gamma 90.00
loop_
_atom_site_label
_atom_site_type_symbol
_atom_site_fract_x
_atom_site_fract_y
_atom_site_fract_z
Sr1 Sr 0.000 0.000 0.000
Li1 Li 0.250 0.250 0.250
Ni1 Ni 0.000 0.000 0.500
Bi1 Bi 0.250 0.250 0.750


# TaNiAsAu (PBE, relaxed)
# **Spin magnetization**: 0.00 μB/f.u.
# **Uncorrected energy**: -100.68 eV for the cell shown
data_TaNiAsAu
_chemical_formula_sum 'Ta4 Ni4 As4 Au4'
_symmetry_space_group_name_H-M 'F -4 3 m'
_symmetry_Int_Tables_number 216
_symmetry_space_group_name_Hall 'F -4 2 3'
_cell_length_a 6.327
_cell_length_b 6.327
_cell_length_c 6.327
_cell_angle_alpha 90.00
_cell_angle_beta 90.00
_cell_angle_gamma 90.00
loop_
_atom_site_label
_atom_site_type_symbol
_atom_site_fract_x
_atom_site_fract_y
_atom_site_fract_z
Ta1 Ta 0.000 0.000 0.000
Ni1 Ni 0.000 0.000 0.500
As1 As 0.250 0.250 0.250
Au1 Au 0.250 0.250 0.750


# MgZnSO (PBE, relaxed)
# **Excess energy over the best structure of this formula in the dataset**: 544 meV per atom
# **Uncorrected energy**: -64.54 eV for the cell shown
data_MgZnSO
_chemical_formula_sum 'Mg4 Zn4 S4 O4'
_symmetry_space_group_name_H-M 'C m c m'
_symmetry_Int_Tables_number 63
_symmetry_space_group_name_Hall '-C 2c 2'
_cell_length_a 3.416
_cell_length_b 11.657
_cell_length_c 5.763
_cell_angle_alpha 90.00
_cell_angle_beta 90.00
_cell_angle_gamma 90.00
loop_
_atom_site_label
_atom_site_type_symbol
_atom_site_fract_x
_atom_site_fract_y
_atom_site_fract_z
Mg1 Mg 0.000 0.117 0.250
Zn1 Zn 0.000 0.405 0.250
S1 S 0.000 0.235 0.750
O1 O 0.000 0.000 0.000


# HfBeGeOs (PBE, relaxed)
# **Spin magnetization**: 0.00 μB/f.u.
# **Excess energy over the best structure of this formula in the dataset**: 0 meV per atom
# **Uncorrected energy**: -120.40 eV for the cell shown
data_HfBeGeOs
_chemical_formula_sum 'Hf4 Be4 Ge4 Os4'
_symmetry_space_group_name_H-M 'F -4 3 m'
_symmetry_Int_Tables_number 216
_symmetry_space_group_name_Hall 'F -4 2 3'
_cell_length_a 6.136
_cell_length_b 6.136
_cell_length_c 6.136
_cell_angle_alpha 90.00
_cell_angle_beta 90.00
_cell_angle_gamma 90.00
loop_
_atom_site_label
_atom_site_type_symbol
_atom_site_fract_x
_atom_site_fract_y
_atom_site_fract_z
Hf1 Hf 0.000 0.000 0.000
Be1 Be 0.250 0.250 0.750
Ge1 Ge 0.250 0.250 0.250
Os1 Os 0.000 0.000 0.500


# TmNpCd (PBE, relaxed)
# **Spin magnetization**: 4.85 μB/f.u.
# **Formation energy from the elements**: 0.8797 eV/atom
# **Uncorrected energy**: -62.00 eV for the cell shown
data_TmNpCd
_chemical_formula_sum 'Tm4 Np4 Cd4'
_symmetry_space_group_name_H-M 'F -4 3 m'
_symmetry_Int_Tables_number 216
_symmetry_space_group_name_Hall 'F -4 2 3'
_cell_length_a 7.029
_cell_length_b 7.029
_cell_length_c 7.029
_cell_angle_alpha 90.00
_cell_angle_beta 90.00
_cell_angle_gamma 90.00
loop_
_atom_site_label
_atom_site_type_symbol
_atom_site_fract_x
_atom_site_fract_y
_atom_site_fract_z
Tm1 Tm 0.000 0.000 0.000
Np1 Np 0.250 0.250 0.250
Cd1 Cd 0.250 0.250 0.750


# CdSiP2 (PBE, relaxed)
# **Excess energy over the best structure of this formula in the dataset**: 804 meV per atom
# **Uncorrected energy**: -58.97 eV for the cell shown
data_CdSiP2
_chemical_formula_sum 'Cd4 Si4 P8'
_symmetry_space_group_name_H-M 'F m -3 m'
_symmetry_Int_Tables_number 225
_symmetry_space_group_name_Hall '-F 4 2 3'
_cell_length_a 6.499
_cell_length_b 6.499
_cell_length_c 6.499
_cell_angle_alpha 90.00
_cell_angle_beta 90.00
_cell_angle_gamma 90.00
loop_
_atom_site_label
_atom_site_type_symbol
_atom_site_fract_x
_atom_site_fract_y
_atom_site_fract_z
Cd1 Cd 0.000 0.000 0.000
Si1 Si 0.000 0.000 0.500
P1 P 0.250 0.250 0.250


# ScAgBr2O7 (PBE, relaxed)
# **Spin magnetization**: 0.00 μB/f.u.
# **Uncorrected energy**: -103.05 eV for the cell shown
data_ScAgBr2O7
_chemical_formula_sum 'Sc2 Ag2 Br4 O14'
_symmetry_space_group_name_H-M 'C 1 2 1'
_symmetry_Int_Tables_number 5
_cell_length_a 7.343
_cell_length_b 8.558
_cell_length_c 4.788
_cell_angle_alpha 90.00
_cell_angle_beta 100.31
_cell_angle_gamma 90.00
loop_
_symmetry_equiv_pos_as_xyz
'x,y,z'
'-x,y,-z'
'x+1/2,y+1/2,z'
'-x+1/2,y+1/2,-z'
loop_
_atom_site_label
_atom_site_type_symbol
_atom_site_fract_x
_atom_site_fract_y
_atom_site_fract_z
Sc1 Sc 0.000 0.000 0.000
Ag1 Ag 0.000 0.395 0.000
Br1 Br 0.193 0.675 0.432
O1 O 0.000 0.508 0.500
O2 O 0.115 0.173 0.290
O3 O 0.188 0.828 0.164
O4 O 0.229 0.031 0.772


# SnW4SN2 (PBE, relaxed)
# **Spin magnetization**: 0.01 μB/f.u.
# **Uncorrected energy**: -73.85 eV for the cell shown
data_SnW4SN2
_chemical_formula_sum 'Sn1 W4 S1 N2'
_symmetry_space_group_name_H-M 'P -6 m 2'
_symmetry_Int_Tables_number 187
_symmetry_space_group_name_Hall 'P -6 2'
_cell_length_a 2.9583
_cell_length_b 2.9583
_cell_length_c 14.0791
_cell_angle_alpha 90.00
_cell_angle_beta 90.00
_cell_angle_gamma 120.00
loop_
_atom_site_label
_atom_site_type_symbol
_atom_site_fract_x
_atom_site_fract_y
_atom_site_fract_z
Sn1 Sn 0.0000 0.0000 0.0000
W1 W 0.0000 0.0000 0.3698
W2 W 0.3333 0.6667 0.1697
S1 S 0.3333 0.6667 0.5000
N1 N 0.6667 0.3333 0.2666


# KErAsO (PBE, relaxed)
# **Spin magnetization**: 0.00 μB/f.u.
# **Excess energy over the best structure of this formula in the dataset**: 0 meV per atom
# **Uncorrected energy**: -43.41 eV for the cell shown
data_KErAsO
_chemical_formula_sum 'K2 Er2 As2 O2'
_symmetry_space_group_name_H-M 'P m c 21'
_symmetry_Int_Tables_number 26
_cell_length_a 3.424
_cell_length_b 7.871
_cell_length_c 7.588
_cell_angle_alpha 90.00
_cell_angle_beta 90.00
_cell_angle_gamma 90.00
loop_
_symmetry_equiv_pos_as_xyz
'x,y,z'
'-x,-y,z+1/2'
'-x,y,z'
'x,-y,z+1/2'
loop_
_atom_site_label
_atom_site_type_symbol
_atom_site_fract_x
_atom_site_fract_y
_atom_site_fract_z
K1 K 0.000 0.041 0.000
Er1 Er 0.500 0.370 0.348
As1 As 0.500 0.293 0.716
O1 O 0.000 0.240 0.274


# Ta4Si2Os (PBE, relaxed)
# **Spin magnetization**: 0.03 μB/f.u.
# **Uncorrected energy**: -124.40 eV for the cell shown
data_Ta4Si2Os
_chemical_formula_sum 'Ta8 Si4 Os2'
_symmetry_space_group_name_H-M 'I 4/m m m'
_symmetry_Int_Tables_number 139
_symmetry_space_group_name_Hall '-I 4 2'
_cell_length_a 4.742
_cell_length_b 4.742
_cell_length_c 13.230
_cell_angle_alpha 90.00
_cell_angle_beta 90.00
_cell_angle_gamma 90.00
loop_
_atom_site_label
_atom_site_type_symbol
_atom_site_fract_x
_atom_site_fract_y
_atom_site_fract_z
Ta1 Ta 0.000 0.000 0.189
Ta2 Ta 0.000 0.500 0.000
Si1 Si 0.000 0.000 0.378
Os1 Os 0.000 0.000 0.000


# Ga2MoN (PBE, relaxed)
# **Spin magnetization**: 0.00 μB/f.u.
# **Uncorrected energy**: -49.36 eV for the cell shown
data_Ga2MoN
_chemical_formula_sum 'Ga4 Mo2 N2'
_symmetry_space_group_name_H-M 'P 63/m m c'
_symmetry_Int_Tables_number 194
_symmetry_space_group_name_Hall '-P 6c 2c'
_cell_length_a 2.9411
_cell_length_b 2.9411
_cell_length_c 13.7853
_cell_angle_alpha 90.00
_cell_angle_beta 90.00
_cell_angle_gamma 120.00
loop_
_atom_site_label
_atom_site_type_symbol
_atom_site_fract_x
_atom_site_fract_y
_atom_site_fract_z
Ga1 Ga 0.3333 0.6667 0.0925
Mo1 Mo 0.3333 0.6667 0.7500
N1 N 0.0000 0.0000 0.0000


V across the listed records, respectively: 359.0 360.5 253.3 229.5 231.0 347.2 274.5 296.1 106.7 204.5 297.5 103.3 Å³ per cell.